First-principles (PBE) data for a relaxed Cd2Ir2O crystal, as listed in Alexandria via LeMat-Bulk.

Properties
The total DFT energy (no corrections) is -4.359 eV per atom. The calculation puts the magnetic moment at 1.8 Bohr magnetons per cell. As for the energy above the most stable polymorph in this dataset: 217 meV/atom.

a = 5.7861 Å, b = 5.7861 Å, c = 4.9857 Å
α = 90.00°, β = 90.00°, γ = 90.00°
Space group P4/mbm (No. 127)
Symmetry-distinct sites (fractional):
Cd1 0.1657 0.3343 0.0000
Ir1 0.1552 0.6552 0.5000
O1 0.0000 0.0000 0.0000

---

First-principles (PBE) data for a relaxed Cd2Ir2O crystal, as listed in Alexandria via LeMat-Bulk.

Properties
The total DFT energy (no corrections) is -4.560 eV per atom. The calculation puts the magnetic moment at 0.0 Bohr magnetons per cell. As for the energy above the most stable polymorph in this dataset: 16 meV/atom.

a = 3.4956 Å, b = 3.4956 Å, c = 15.0037 Å
α = 90.00°, β = 90.00°, γ = 90.00°
Space group I4/mmm (No. 139)
Symmetry-distinct sites (fractional):
Cd1 0.0000 0.0000 0.0913
Ir1 0.0000 0.5000 0.2500
O1 0.0000 0.0000 0.5000

---

First-principles (PBE) data for a relaxed CdIrO2 crystal, as listed in Alexandria via LeMat-Bulk.

Properties
The total DFT energy (no corrections) is -5.415 eV per atom. The calculation puts the magnetic moment at 0.0 Bohr magnetons per cell.

a = 3.1525 Å, b = 3.1525 Å, c = 20.2545 Å
α = 90.00°, β = 90.00°, γ = 120.00°
Space group R-3m (No. 166, hexagonal axes)
Symmetry-distinct sites (fractional):
Cd1 0.0000 0.0000 0.0000
Ir1 0.0000 0.0000 0.5000
O1 0.0000 0.0000 0.1203

---

First-principles (PBE) data for a relaxed Cd3IrO crystal, as listed in Alexandria via LeMat-Bulk.

Properties
The total DFT energy (no corrections) is -2.511 eV per atom. The calculation puts the magnetic moment at 0.0 Bohr magnetons per cell. As for the energy above the most stable polymorph in this dataset: 705 meV/atom.

a = 5.1609 Å, b = 5.1609 Å, c = 5.1609 Å
α = 90.00°, β = 90.00°, γ = 90.00°
Space group Pm-3m (No. 221)
Symmetry-distinct sites (fractional):
Cd1 0.0000 0.0000 0.5000
Ir1 0.0000 0.0000 0.0000
O1 0.5000 0.5000 0.5000

---

First-principles (PBE) data for a relaxed CdIrO2 crystal, as listed in Alexandria via LeMat-Bulk.

Properties
The total DFT energy (no corrections) is -5.041 eV per atom. The calculation puts the magnetic moment at 0.0 Bohr magnetons per cell.

a = 4.2160 Å, b = 4.2160 Å, c = 12.7606 Å
α = 90.00°, β = 90.00°, γ = 90.00°
Space group I-42d (No. 122)
Symmetry-distinct sites (fractional):
Cd1 0.0000 0.0000 0.0000
Ir1 0.0000 0.0000 0.5000
O1 0.1831 0.2500 0.6250

---

First-principles (PBE) data for a relaxed CdIrO3 crystal, as listed in Alexandria via LeMat-Bulk.

Properties
The total DFT energy (no corrections) is -5.641 eV per atom. The calculation puts the magnetic moment at 0.0 Bohr magnetons per cell.

a = 10.6471 Å, b = 3.8171 Å, c = 6.5049 Å
α = 90.00°, β = 100.38°, γ = 90.00°
Space group C2/m (No. 12)
Symmetry-distinct sites (fractional):
Cd1 0.1248 0.0000 0.4091
Ir1 0.1319 0.5000 0.9187
O1 0.0576 0.5000 0.1939
O2 0.1667 0.5000 0.6246
O3 0.1741 0.0000 0.9546

---

First-principles (PBE) data for a relaxed Cd2Ir3O8 crystal, as listed in Alexandria via LeMat-Bulk.

Properties
The total DFT energy (no corrections) is -6.000 eV per atom. The calculation puts the magnetic moment at 1.0 Bohr magnetons per cell.

a = 10.6580 Å, b = 6.3144 Å, c = 5.4058 Å
α = 90.00°, β = 106.98°, γ = 90.00°
Space group C2/m (No. 12)
Symmetry-distinct sites (fractional):
Cd1 0.2073 0.0000 0.1269
Ir1 0.0000 0.2468 0.5000
Ir2 0.0000 0.5000 0.0000
O1 0.0923 0.5000 0.3921
O2 0.0989 0.0000 0.4226
O3 0.1080 0.2814 0.8731

---

First-principles (PBE) data for a relaxed CdIrO3 crystal, as listed in Alexandria via LeMat-Bulk.

Properties
The total DFT energy (no corrections) is -5.335 eV per atom. The calculation puts the magnetic moment at 1.0 Bohr magnetons per cell.

a = 3.9242 Å, b = 3.9242 Å, c = 3.9242 Å
α = 90.00°, β = 90.00°, γ = 90.00°
Space group Pm-3m (No. 221)
Symmetry-distinct sites (fractional):
Cd1 0.0000 0.0000 0.0000
Ir1 0.5000 0.5000 0.5000
O1 0.0000 0.5000 0.5000

---

First-principles (PBE) data for a relaxed CdIr2O crystal, as listed in Alexandria via LeMat-Bulk.

Properties
The total DFT energy (no corrections) is -5.555 eV per atom. The calculation puts the magnetic moment at 0.0 Bohr magnetons per cell. As for the energy above the most stable polymorph in this dataset: 0 meV/atom.

a = 4.7362 Å, b = 4.7362 Å, c = 13.0650 Å
α = 90.00°, β = 90.00°, γ = 90.00°
Space group I-42d (No. 122)
Symmetry-distinct sites (fractional):
Cd1 0.0000 0.0000 0.0000
Ir1 0.0788 0.2500 0.6250
O1 0.0000 0.0000 0.5000

---

First-principles (PBE) data for a relaxed Cd2IrO5 crystal, as listed in Alexandria via LeMat-Bulk.

Properties
The total DFT energy (no corrections) is -5.225 eV per atom. The calculation puts the magnetic moment at 4.6 Bohr magnetons per cell.

a = 11.2513 Å, b = 5.4331 Å, c = 7.4235 Å
α = 90.00°, β = 109.89°, γ = 90.00°
Space group C2/c (No. 15)
Symmetry-distinct sites (fractional):
Cd1 0.1497 0.0190 0.2891
Ir1 0.0000 0.5000 0.0000
O1 0.0000 0.3560 0.2500
O2 0.0952 0.2034 0.9961
O3 0.1546 0.3259 0.6154

---

First-principles (PBE) data for a relaxed CdIrO3 crystal, as listed in Alexandria via LeMat-Bulk.

Properties
The total DFT energy (no corrections) is -5.401 eV per atom. The calculation puts the magnetic moment at 0.0 Bohr magnetons per cell.

a = 11.8990 Å, b = 9.3115 Å, c = 5.1573 Å
α = 90.00°, β = 102.21°, γ = 90.00°
Space group C2/c (No. 15)
Symmetry-distinct sites (fractional):
Cd1 0.0000 0.1299 0.2500
Cd2 0.0000 0.3446 0.7500
Ir1 0.2313 0.4283 0.2608
O1 0.1119 0.0769 0.6588
O2 0.1191 0.4575 0.4952
O3 0.1290 0.2743 0.1054

---

First-principles (PBE) data for a relaxed CdPIrO2 crystal, as listed in Alexandria via LeMat-Bulk.

Properties
The total DFT energy (no corrections) is -3.971 eV per atom. The calculation puts the magnetic moment at 2.0 Bohr magnetons per cell. As for the energy above the most stable polymorph in this dataset: 1275 meV/atom.

a = 3.8638 Å, b = 3.8638 Å, c = 6.0607 Å
α = 90.00°, β = 90.00°, γ = 90.00°
Space group P4/mmm (No. 123)
Symmetry-distinct sites (fractional):
Cd1 0.0000 0.0000 0.0000
P1 0.0000 0.0000 0.5000
Ir1 0.5000 0.5000 0.5000
O1 0.0000 0.5000 0.0000

---

Question: Which value of magnetic moment does entry 8 give?
Answer: 1.0 Bohr magnetons per cell

---

Question: Which of these has the highest magnetic moment?
Answer: Cd2IrO5

---

What did the third record say?
First-principles (PBE) data for a relaxed CdIrO2 crystal, as listed in Alexandria via LeMat-Bulk.

Properties
The total DFT energy (no corrections) is -5.415 eV per atom. The calculation puts the magnetic moment at 0.0 Bohr magnetons per cell.

a = 3.1525 Å, b = 3.1525 Å, c = 20.2545 Å
α = 90.00°, β = 90.00°, γ = 120.00°
Space group R-3m (No. 166, hexagonal axes)
Symmetry-distinct sites (fractional):
Cd1 0.0000 0.0000 0.0000
Ir1 0.0000 0.0000 0.5000
O1 0.0000 0.0000 0.1203